{
  "formula": "GeB3Pd",
  "functional": "meta-GGA SCAN",
  "state": "single point on PBEsol structure",
  "lattice": [[4.045, 0.000, 0.000], [0.000, 4.045, 0.000], [0.000, 0.000, 4.045]],
  "species": ["Ge", "B", "B", "B", "Pd"],
  "frac_coords": [[0.000, 0.000, 0.000], [0.000, 0.000, 0.500], [0.000, 0.500, 0.000], [0.500, 0.000, 0.000], [0.500, 0.500, 0.500]],
  "formation_energy_mev_per_atom": 1938.8,
  "magmom_total_mub_per_fu": 0.00,
  "sg": "Pm-3m, No. 221"
}